VASP calculation (meta-GGA SCAN) on a crystal of KLi2In relaxed with PBEsol.

- VASP energy: -11.743 eV per atom
- Density of states at the Fermi level: 1.609 states/eV per cell
- Energy relative to the elements: -0.120 eV/atom

Lattice parameters (Å, degrees): 3.6463 3.6463 8.3163 90.00 90.00 90.00
Positions (direct):
K1 0.0000 0.0000 0.0000
Li1 0.5000 0.5000 0.3334
Li2 0.5000 0.5000 0.6666
In1 0.0000 0.0000 0.5000

=====

VASP calculation (meta-GGA SCAN) on a crystal of RhAuNF2 relaxed with PBEsol.

- VASP energy: -23.955 eV per atom
- Polymorph energy (0 for the lowest one): 0.0 meV per atom
- Formation energy from raw total energies: -94.6 meV/atom
- Density of states at the Fermi level: 1.787 states/eV per cell

Lattice parameters (Å, degrees): 4.2410 4.2410 3.6259 90.00 90.00 90.00
Positions (direct):
Rh1 0.0000 0.0000 0.0000
Au1 0.5000 0.5000 0.5000
N1 0.0000 0.0000 0.5000
F1 0.0000 0.5000 0.0000
F2 0.5000 0.0000 0.0000

=====

VASP calculation (meta-GGA SCAN) on a crystal of LaMgTa2 relaxed with PBEsol.

- VASP energy: -44.686 eV per atom
- Density of states at the Fermi level: 6.231 states/eV per cell
- Energy relative to the elements: 0.625 eV/atom

Lattice parameters (Å, degrees): 4.2430 4.2430 9.4084 90.00 90.00 90.00
Positions (direct):
La1 0.0000 0.0000 0.0000
La2 0.5000 0.5000 0.5000
Mg1 0.0000 0.0000 0.5000
Mg2 0.5000 0.5000 0.0000
Ta1 0.0000 0.5000 0.2500
Ta2 0.0000 0.5000 0.7500
Ta3 0.5000 0.0000 0.2500
Ta4 0.5000 0.0000 0.7500

=====

VASP calculation (meta-GGA SCAN) on a crystal of KZn2MoSe relaxed with PBEsol.

- VASP energy: -17.142 eV per atom
- Formation energy from raw total energies: 922.8 meV/atom
- Density of states at the Fermi level: 2.206 states/eV per cell

Lattice parameters (Å, degrees): 4.9778 4.9778 6.0353 90.00 90.00 90.00
Positions (direct):
K1 0.0000 0.0000 0.0000
Zn1 0.0000 0.5000 0.5000
Zn2 0.5000 0.0000 0.5000
Mo1 0.0000 0.0000 0.5000
Se1 0.5000 0.5000 0.0000

=====

VASP calculation (meta-GGA SCAN) on a crystal of KAl2B relaxed with PBEsol.

- VASP energy: -6.557 eV per atom
- Polymorph energy (0 for the lowest one): 736.4 meV per atom
- Density of states at the Fermi level: 4.862 states/eV per cell
- Energy relative to the elements: 1.258 eV/atom

Lattice parameters (Å, degrees): 6.5025 6.5025 6.5025 90.00 90.00 90.00
Positions (direct):
K1 0.0000 0.0000 0.0000
K2 0.0000 0.5000 0.5000
K3 0.5000 0.0000 0.5000
K4 0.5000 0.5000 0.0000
Al1 0.2500 0.2500 0.2500
Al2 0.2500 0.2500 0.7500
Al3 0.2500 0.7500 0.2500
Al4 0.2500 0.7500 0.7500
Al5 0.7500 0.2500 0.2500
Al6 0.7500 0.2500 0.7500
Al7 0.7500 0.7500 0.2500
Al8 0.7500 0.7500 0.7500
B1 0.0000 0.0000 0.5000
B2 0.0000 0.5000 0.0000
B3 0.5000 0.0000 0.0000
B4 0.5000 0.5000 0.5000

=====

VASP calculation (meta-GGA SCAN) on a crystal of SrNi2Mo relaxed with PBEsol.

- VASP energy: -22.085 eV per atom
- Density of states at the Fermi level: 10.793 states/eV per cell
- Energy relative to the elements: 0.292 eV/atom

Lattice parameters (Å, degrees): 4.1023 4.1023 16.5944 90.00 90.00 120.00
Positions (direct):
Sr1 0.0000 0.0000 0.0000
Sr2 0.3333 0.6667 0.6667
Sr3 0.6667 0.3333 0.3333
Ni1 0.0000 0.0000 0.1893
Ni2 0.0000 0.0000 0.4846
Ni3 0.3333 0.6667 0.1513
Ni4 0.3333 0.6667 0.8560
Ni5 0.6667 0.3333 0.5227
Ni6 0.6667 0.3333 0.8179
Mo1 0.0000 0.0000 0.8138
Mo2 0.3333 0.6667 0.4805
Mo3 0.6667 0.3333 0.1471

=====

VASP calculation (meta-GGA SCAN) on a crystal of Ba3AgSe relaxed with PBEsol.

- VASP energy: -34.396 eV per atom
- Formation energy from raw total energies: -377.2 meV/atom
- Density of states at the Fermi level: 4.051 states/eV per cell

Lattice parameters (Å, degrees): 6.1487 6.1487 6.1487 90.00 90.00 90.00
Positions (direct):
Ba1 0.0000 0.0000 0.5000
Ba2 0.0000 0.5000 0.0000
Ba3 0.5000 0.0000 0.0000
Ag1 0.0000 0.0000 0.0000
Se1 0.5000 0.5000 0.5000

=====

VASP calculation (meta-GGA SCAN) on a crystal of Ba3PrF9 relaxed with PBEsol.

- VASP energy: -19.062 eV per atom
- Formation energy from raw total energies: -4151.4 meV/atom
- Density of states at the Fermi level: 0.000 states/eV per cell

Lattice parameters (Å, degrees): 4.1054 4.2947 14.4306 97.94 90.30 118.28
Positions (direct):
Ba1 0.0000 0.0000 0.0000
Ba2 0.2471 0.5041 0.7413
Ba3 0.7517 0.4949 0.2582
Pr1 0.5257 0.0721 0.4865
F1 0.0552 0.1022 0.1829
F2 0.1364 0.2561 0.3922
F3 0.1837 0.3832 0.5630
F4 0.3054 0.6114 0.9291
F5 0.4439 0.8780 0.3230
F6 0.5494 0.1102 0.6586
F7 0.6934 0.3864 0.0661
F8 0.8409 0.6906 0.4778
F9 0.9403 0.8908 0.8045

=====

VASP calculation (meta-GGA SCAN) on a crystal of ZrScRe4 relaxed with PBEsol.

- VASP energy: -55.332 eV per atom
- Density of states at the Fermi level: 5.529 states/eV per cell
- Energy relative to the elements: -0.444 eV/atom

Lattice parameters (Å, degrees): 5.2423 5.2423 5.2423 60.00 60.00 60.00
Positions (direct):
Zr1 0.0000 0.0000 0.0000
Sc1 0.7500 0.7500 0.7500
Re1 0.3751 0.3751 0.3751
Re2 0.3751 0.3751 0.8748
Re3 0.3751 0.8748 0.3751
Re4 0.8748 0.3751 0.3751

=====

VASP calculation (meta-GGA SCAN) on a crystal of MnFe2O4 relaxed with PBEsol.

- VASP energy: -13.012 eV per atom
- Formation energy from raw total energies: -1663.9 meV/atom
- Density of states at the Fermi level: 7.777 states/eV per cell

Lattice parameters (Å, degrees): 5.7428 5.7428 5.7428 60.00 60.00 60.00
Positions (direct):
Mn1 0.1250 0.1250 0.1250
Mn2 0.8750 0.8750 0.8750
Fe1 0.0000 0.5000 0.5000
Fe2 0.5000 0.0000 0.5000
Fe3 0.5000 0.5000 0.0000
Fe4 0.5000 0.5000 0.5000
O1 0.2631 0.2631 0.2631
O2 0.2631 0.2631 0.7108
O3 0.2631 0.7108 0.2631
O4 0.2892 0.7369 0.7369
O5 0.7108 0.2631 0.2631
O6 0.7369 0.2892 0.7369
O7 0.7369 0.7369 0.2892
O8 0.7369 0.7369 0.7369

=====

VASP calculation (meta-GGA SCAN) on a crystal of FeRe2Rh relaxed with PBEsol.

- VASP energy: -48.225 eV per atom
- Polymorph energy (0 for the lowest one): 297.5 meV per atom
- Density of states at the Fermi level: 3.754 states/eV per cell
- Energy relative to the elements: 0.299 eV/atom

Lattice parameters (Å, degrees): 4.4966 4.4966 2.6936 90.00 90.00 90.00
Positions (direct):
Fe1 0.0000 0.0000 0.0000
Re1 0.0000 0.5000 0.5000
Re2 0.5000 0.0000 0.5000
Rh1 0.5000 0.5000 0.0000

=====

VASP calculation (meta-GGA SCAN) on a crystal of TePtPb2 relaxed with PBEsol.

- VASP energy: -64.802 eV per atom
- Formation energy from raw total energies: -50.7 meV/atom
- Density of states at the Fermi level: 4.551 states/eV per cell

Lattice parameters (Å, degrees): 3.5044 5.3218 10.9048 90.00 90.00 90.00
Positions (direct):
Te1 0.0000 0.0000 0.0000
Te2 0.5000 0.5000 0.5000
Pt1 0.0000 0.5000 0.3120
Pt2 0.5000 0.0000 0.8120
Pb1 0.0000 0.0000 0.6068
Pb2 0.0000 0.5000 0.8104
Pb3 0.5000 0.0000 0.3104
Pb4 0.5000 0.5000 0.1068

=====

VASP calculation (meta-GGA SCAN) on a crystal of HfCuGe2 relaxed with PBEsol.

- VASP energy: -28.951 eV per atom
- Density of states at the Fermi level: 14.037 states/eV per cell
- Energy relative to the elements: 0.061 eV/atom

Lattice parameters (Å, degrees): 6.4085 6.4085 6.4085 90.00 90.00 90.00
Positions (direct):
Hf1 0.0000 0.0000 0.0000
Hf2 0.0000 0.5000 0.5000
Hf3 0.5000 0.0000 0.5000
Hf4 0.5000 0.5000 0.0000
Cu1 0.0000 0.0000 0.5000
Cu2 0.0000 0.5000 0.0000
Cu3 0.5000 0.0000 0.0000
Cu4 0.5000 0.5000 0.5000
Ge1 0.2500 0.2500 0.2500
Ge2 0.2500 0.2500 0.7500
Ge3 0.2500 0.7500 0.2500
Ge4 0.2500 0.7500 0.7500
Ge5 0.7500 0.2500 0.2500
Ge6 0.7500 0.2500 0.7500
Ge7 0.7500 0.7500 0.2500
Ge8 0.7500 0.7500 0.7500

=====

VASP calculation (meta-GGA SCAN) on a crystal of Mg2PBr relaxed with PBEsol.

- VASP energy: -10.384 eV per atom
- Polymorph energy (0 for the lowest one): 621.5 meV per atom
- Formation energy from raw total energies: -432.2 meV/atom
- Density of states at the Fermi level: 2.224 states/eV per cell

Lattice parameters (Å, degrees): 6.7914 6.7914 6.7914 90.00 90.00 90.00
Positions (direct):
Mg1 0.2500 0.2500 0.2500
Mg2 0.2500 0.2500 0.7500
Mg3 0.2500 0.7500 0.2500
Mg4 0.2500 0.7500 0.7500
Mg5 0.7500 0.2500 0.2500
Mg6 0.7500 0.2500 0.7500
Mg7 0.7500 0.7500 0.2500
Mg8 0.7500 0.7500 0.7500
P1 0.0000 0.0000 0.0000
P2 0.0000 0.5000 0.5000
P3 0.5000 0.0000 0.5000
P4 0.5000 0.5000 0.0000
Br1 0.0000 0.0000 0.5000
Br2 0.0000 0.5000 0.0000
Br3 0.5000 0.0000 0.0000
Br4 0.5000 0.5000 0.5000

=====

VASP calculation (meta-GGA SCAN) on a crystal of Ga3Pb relaxed with PBEsol.

- VASP energy: -30.980 eV per atom
- Density of states at the Fermi level: 1.435 states/eV per cell
- Energy relative to the elements: 0.225 eV/atom

Lattice parameters (Å, degrees): 4.3955 4.3955 4.3955 90.00 90.00 90.00
Positions (direct):
Ga1 0.0000 0.0000 0.5000
Ga2 0.0000 0.5000 0.0000
Ga3 0.5000 0.0000 0.0000
Pb1 0.5000 0.5000 0.5000

=====

VASP calculation (meta-GGA SCAN) on a crystal of TaTeSe2 relaxed with PBEsol.

- VASP energy: -35.576 eV per atom
- Formation energy from raw total energies: 421.8 meV/atom
- Density of states at the Fermi level: 7.871 states/eV per cell

Lattice parameters (Å, degrees): 6.7801 6.7801 6.7801 90.00 90.00 90.00
Positions (direct):
Ta1 0.0000 0.0000 0.0000
Ta2 0.0000 0.5000 0.5000
Ta3 0.5000 0.0000 0.5000
Ta4 0.5000 0.5000 0.0000
Te1 0.2500 0.2500 0.2500
Te2 0.2500 0.7500 0.7500
Te3 0.7500 0.2500 0.7500
Te4 0.7500 0.7500 0.2500
Se1 0.0000 0.0000 0.5000
Se2 0.0000 0.5000 0.0000
Se3 0.2500 0.2500 0.7500
Se4 0.2500 0.7500 0.2500
Se5 0.5000 0.0000 0.0000
Se6 0.5000 0.5000 0.5000
Se7 0.7500 0.2500 0.2500
Se8 0.7500 0.7500 0.7500

=====

VASP calculation (meta-GGA SCAN) on a crystal of RbCuBi2 relaxed with PBEsol.

- VASP energy: -47.888 eV per atom
- Density of states at the Fermi level: 7.441 states/eV per cell
- Energy relative to the elements: 0.386 eV/atom

Lattice parameters (Å, degrees): 7.5615 7.5615 7.5615 90.00 90.00 90.00
Positions (direct):
Rb1 0.0000 0.0000 0.0000
Rb2 0.0000 0.5000 0.5000
Rb3 0.5000 0.0000 0.5000
Rb4 0.5000 0.5000 0.0000
Cu1 0.0000 0.0000 0.5000
Cu2 0.0000 0.5000 0.0000
Cu3 0.5000 0.0000 0.0000
Cu4 0.5000 0.5000 0.5000
Bi1 0.2500 0.2500 0.2500
Bi2 0.2500 0.2500 0.7500
Bi3 0.2500 0.7500 0.2500
Bi4 0.2500 0.7500 0.7500
Bi5 0.7500 0.2500 0.2500
Bi6 0.7500 0.2500 0.7500
Bi7 0.7500 0.7500 0.2500
Bi8 0.7500 0.7500 0.7500

=====

VASP calculation (meta-GGA SCAN) on a crystal of NaAgCl2 relaxed with PBEsol.

- VASP energy: -14.097 eV per atom
- Polymorph energy (0 for the lowest one): 0.0 meV per atom
- Formation energy from raw total energies: -1212.5 meV/atom
- Density of states at the Fermi level: 0.000 states/eV per cell

Lattice parameters (Å, degrees): 4.0778 4.0778 22.4960 90.00 90.00 120.00
Positions (direct):
Na1 0.0000 0.0000 0.0000
Na2 0.3333 0.6667 0.6667
Na3 0.6667 0.3333 0.3333
Ag1 0.0000 0.0000 0.5000
Ag2 0.3333 0.6667 0.1667
Ag3 0.6667 0.3333 0.8333
Cl1 0.0000 0.0000 0.3979
Cl2 0.0000 0.0000 0.6021
Cl3 0.3333 0.6667 0.0645
Cl4 0.3333 0.6667 0.2688
Cl5 0.6667 0.3333 0.7312
Cl6 0.6667 0.3333 0.9355

=====

VASP calculation (meta-GGA SCAN) on a crystal of Mg3TiBe relaxed with PBEsol.

- VASP energy: -5.565 eV per atom
- Density of states at the Fermi level: 4.586 states/eV per cell
- Energy relative to the elements: 1.496 eV/atom

Lattice parameters (Å, degrees): 5.2664 5.2664 5.2664 90.00 90.00 90.00
Positions (direct):
Mg1 0.0000 0.0000 0.5000
Mg2 0.0000 0.5000 0.0000
Mg3 0.5000 0.0000 0.0000
Ti1 0.0000 0.0000 0.0000
Be1 0.5000 0.5000 0.5000

=====

VASP calculation (meta-GGA SCAN) on a crystal of Cs2ZnGeN relaxed with PBEsol.

- VASP energy: -23.183 eV per atom
- Formation energy from raw total energies: 320.1 meV/atom
- Density of states at the Fermi level: 2.761 states/eV per cell

Lattice parameters (Å, degrees): 6.4095 6.4095 3.8158 90.00 90.00 90.00
Positions (direct):
Cs1 0.0000 0.5000 0.0000
Cs2 0.5000 0.0000 0.0000
Zn1 0.0000 0.0000 0.5000
Ge1 0.5000 0.5000 0.5000
N1 0.5000 0.5000 0.0000

=====

| no. | calculated volume (Å³ per atom) |
| --- | --- |
| 1 | 27.64 |
| 2 | 13.04 |
| 3 | 21.17 |
| 4 | 29.91 |
| 5 | 17.18 |
| 6 | 20.15 |
| 7 | 46.49 |
| 8 | 17.01 |
| 9 | 16.98 |
| 10 | 9.57 |
| 11 | 13.62 |
| 12 | 25.42 |
| 13 | 16.45 |
| 14 | 19.58 |
| 15 | 21.23 |
| 16 | 19.48 |
| 17 | 27.02 |
| 18 | 27.00 |
| 19 | 29.21 |
| 20 | 31.35 |